Density functional theory data (GGA-PBE) for a relaxed structure of MgCd2Au6.

abc: 8.8372 8.8372 4.2753
angles: 90.00 90.00 90.00
With the nearest neighbours (Å) after each atom.
Space group P4_2/mnm (No. 136)
Inequivalent atoms, fractional coordinates:
Mg 0.0000 0.0000 0.0000 (multiplicity 2)  8 Au 2.84-2.91, 4 Cd 3.11
Cd 0.1810 0.1810 0.5000 (multiplicity 4)  10 Au 2.90-3.01, 2 Mg 3.11
Au 0.0089 0.3294 0.0000 (multiplicity 8)  3 Cd 2.90-2.93, 1 Mg 2.91, 8 Au 3.01-3.02
Au 0.1495 0.8505 0.5000 (multiplicity 4)  2 Mg 2.84, 4 Cd 2.93-3.01, 6 Au 3.01-3.02

raw total energy	-2.80	eV/atom
E_form	-0.230	eV/atom
DOS(E_F)	0.301	states/eV/atom
relative energy among the computed polymorphs	0	meV/atom
total magnetic moment	0.0	μB/f.u.


Density functional theory data (GGA-PBE) for a relaxed structure of Na2MgCdAu.

abc: 5.5177 5.5177 5.1963
angles: 90.00 90.00 90.00
With the nearest neighbours (Å) after each atom.
Space group P4/mmm (No. 123)
Inequivalent atoms, fractional coordinates:
Na 0.0000 0.5000 0.0000 (multiplicity 2)  2 Au 2.76
Mg 0.0000 0.0000 0.5000 (multiplicity 1)  2 Au 2.60
Cd 0.5000 0.5000 0.5000 (multiplicity 1)  8 Na 3.79, 4 Mg 3.90
Au 0.0000 0.0000 0.0000 (multiplicity 1)  2 Mg 2.60, 4 Na 2.76

raw total energy	-1.70	eV/atom
E_form	-0.020	eV/atom
DOS(E_F)	0.400	states/eV/atom
total magnetic moment	0.0	μB/f.u.


Density functional theory data (GGA-PBE) for a relaxed structure of NdMgCdAu.

abc: 7.2016 7.2016 7.2016
angles: 90.00 90.00 90.00
With the nearest neighbours (Å) after each atom.
Space group F-43m (No. 216)
Inequivalent atoms, fractional coordinates:
Nd 0.0000 0.0000 0.0000 (multiplicity 4)  4 Cd 3.12, 4 Au 3.12
Mg 0.0000 0.0000 0.5000 (multiplicity 4)  4 Cd 3.12, 4 Au 3.12
Cd 0.2500 0.2500 0.7500 (multiplicity 4)  4 Nd 3.12, 4 Mg 3.12
Au 0.2500 0.2500 0.2500 (multiplicity 4)  4 Mg 3.12, 4 Nd 3.12

raw total energy	-3.16	eV/atom
E_form	-0.525	eV/atom
DOS(E_F)	0.554	states/eV/atom
total magnetic moment	0.0	μB/f.u.


Density functional theory data (GGA-PBE) for a relaxed structure of NdMgCd2Au4.

abc: 4.8472 4.8472 24.6408
angles: 90.00 90.00 120.00
With the nearest neighbours (Å) after each atom.
Space group R-3m (No. 166, hexagonal axes)
Inequivalent atoms, fractional coordinates:
Nd 0.0000 0.0000 0.0000 (multiplicity 3)  8 Au 3.10-3.19
Mg 0.0000 0.0000 0.5000 (multiplicity 3)  8 Au 2.76-2.95
Cd 0.0000 0.0000 0.2487 (multiplicity 6)  7 Au 2.89-3.01
Au 0.0000 0.0000 0.1294 (multiplicity 6)  4 Cd 2.94-3.01, 3 Mg 2.95, 1 Nd 3.19
Au 0.0000 0.0000 0.3879 (multiplicity 6)  1 Mg 2.76, 3 Cd 2.89

raw total energy	-3.17	eV/atom
E_form	-0.509	eV/atom
DOS(E_F)	0.295	states/eV/atom
total magnetic moment	0.0	μB/f.u.


Density functional theory data (GGA-PBE) for a relaxed structure of MgCd2AuO.

abc: 4.3265 4.3265 5.8863
angles: 90.00 90.00 90.00
With the nearest neighbours (Å) after each atom.
Space group P4/mmm (No. 123)
Inequivalent atoms, fractional coordinates:
Mg 0.0000 0.0000 0.0000 (multiplicity 1)  4 Au 3.06
Cd 0.0000 0.5000 0.5000 (multiplicity 2)  2 O 2.16
Au 0.5000 0.5000 0.0000 (multiplicity 1)  2 O 2.94, 4 Mg 3.06
O 0.5000 0.5000 0.5000 (multiplicity 1)  4 Cd 2.16

uncorrected formation energy	-0.07	eV per atom
raw total energy	-2.40	eV/atom
DOS(E_F)	0.352	states/eV/atom
total magnetic moment	0.0	μB/f.u.


Density functional theory data (GGA-PBE) for a relaxed structure of MgCdAu2O6.

abc: 12.1689 7.1454 6.4386
angles: 90.00 106.84 90.00
With the nearest neighbours (Å) after each atom.
Space group C2/c (No. 15)
Inequivalent atoms, fractional coordinates:
Mg 0.0000 0.1218 0.2500 (multiplicity 4)  8 O 2.29-2.43
Cd 0.0000 0.3800 0.7500 (multiplicity 4)  6 O 2.24-2.38
Au 0.2461 0.1375 0.7482 (multiplicity 8)  4 O 1.98-2.02
O 0.0737 0.1349 0.6200 (multiplicity 8)  1 Au 2.02, 1 Cd 2.24
O 0.0827 0.3748 0.1329 (multiplicity 8)  1 Au 2.00
O 0.2085 0.1120 0.3433 (multiplicity 8)  2 Au 1.98-2.01

uncorrected formation energy	-0.61	eV per atom
raw total energy	-4.49	eV/atom
DOS(E_F)	0.711	states/eV/atom
total magnetic moment	1.7	μB/f.u.


Density functional theory data (GGA-PBE) for a relaxed structure of MgCd2AuO4.

abc: 5.5223 5.5223 7.8450
angles: 90.00 90.00 90.00
With the nearest neighbours (Å) after each atom.
Space group I-4 (No. 82)
Inequivalent atoms, fractional coordinates:
Mg 0.0000 0.0000 0.0000 (multiplicity 2)  4 O 2.03
Cd 0.0000 0.0000 0.5000 (multiplicity 2)  4 O 2.29
Cd 0.0000 0.5000 0.7500 (multiplicity 2)  4 O 2.20
Au 0.0000 0.5000 0.2500 (multiplicity 2)  4 O 2.24
O 0.2277 0.7657 0.8828 (multiplicity 8)  1 Mg 2.03, 1 Cd 2.20, 1 Au 2.24

uncorrected formation energy	-0.94	eV per atom
raw total energy	-4.25	eV/atom
DOS(E_F)	0.291	states/eV/atom
total magnetic moment	0.9	μB/f.u.


Density functional theory data (GGA-PBE) for a relaxed structure of MgPaCdAu.

abc: 7.1068 7.1068 7.1068
angles: 90.00 90.00 90.00
With the nearest neighbours (Å) after each atom.
Space group F-43m (No. 216)
Inequivalent atoms, fractional coordinates:
Mg 0.0000 0.0000 0.0000 (multiplicity 4)  4 Au 3.08, 4 Cd 3.08
Pa 0.0000 0.0000 0.5000 (multiplicity 4)  4 Cd 3.08, 4 Au 3.08
Cd 0.2500 0.2500 0.2500 (multiplicity 4)  4 Mg 3.08, 4 Pa 3.08
Au 0.2500 0.2500 0.7500 (multiplicity 4)  4 Pa 3.08, 4 Mg 3.08

raw total energy	-3.97	eV/atom
E_form	-0.152	eV/atom
DOS(E_F)	1.154	states/eV/atom
total magnetic moment	0.4	μB/f.u.


Density functional theory data (GGA-PBE) for a relaxed structure of MgCd2PbAu4.

abc: 4.7202 4.7202 26.0411
angles: 90.00 90.00 120.00
With the nearest neighbours (Å) after each atom.
Space group R-3m (No. 166, hexagonal axes)
Inequivalent atoms, fractional coordinates:
Mg 0.0000 0.0000 0.0000 (multiplicity 3)  8 Au 2.84-2.86
Cd 0.0000 0.0000 0.2548 (multiplicity 6)  7 Au 2.84-2.97
Pb 0.0000 0.0000 0.5000 (multiplicity 3)  8 Au 3.11-3.46
Au 0.0000 0.0000 0.1092 (multiplicity 6)  3 Cd 2.84, 1 Mg 2.84, 3 Pb 3.11
Au 0.0000 0.0000 0.3669 (multiplicity 6)  3 Mg 2.86, 4 Cd 2.92-2.97

raw total energy	-2.76	eV/atom
E_form	-0.228	eV/atom
DOS(E_F)	0.365	states/eV/atom
total magnetic moment	0.0	μB/f.u.


Density functional theory data (GGA-PBE) for a relaxed structure of Mg2CdPdAu4.

abc: 4.6569 4.6569 22.9867
angles: 90.00 90.00 120.00
With the nearest neighbours (Å) after each atom.
Space group R-3m (No. 166, hexagonal axes)
Inequivalent atoms, fractional coordinates:
Mg 0.0000 0.0000 0.2457 (multiplicity 6)  8 Au 2.77-3.00
Cd 0.0000 0.0000 0.0000 (multiplicity 3)  8 Au 2.86-2.88
Pd 0.0000 0.0000 0.5000 (multiplicity 3)  8 Au 2.85
Au 0.0000 0.0000 0.1253 (multiplicity 6)  4 Mg 2.77-2.82, 3 Pd 2.85, 1 Cd 2.88
Au 0.0000 0.0000 0.3762 (multiplicity 6)  1 Pd 2.85, 3 Cd 2.86, 4 Mg 2.88-3.00

raw total energy	-3.22	eV/atom
E_form	-0.420	eV/atom
DOS(E_F)	0.323	states/eV/atom
total magnetic moment	0.0	μB/f.u.


Density functional theory data (GGA-PBE) for a relaxed structure of Mg2CdPdAu5.

abc: 8.2000 8.2000 10.7215
angles: 90.00 90.00 90.00
With the nearest neighbours (Å) after each atom.
Space group I4/mcm (No. 140)
Inequivalent atoms, fractional coordinates:
Mg 0.1147 0.3853 0.0000 (multiplicity 8)  2 Au 2.58, 1 Mg 2.66
Cd 0.0000 0.0000 0.2500 (multiplicity 4)  2 Au 2.68
Pd 0.0000 0.5000 0.2500 (multiplicity 4)  4 Au 2.63
Au 0.0000 0.0000 0.0000 (multiplicity 4)  2 Cd 2.68
Au 0.1990 0.3010 0.3682 (multiplicity 16)  1 Mg 2.58, 1 Pd 2.63, 2 Au 2.80-2.83

raw total energy	-2.98	eV/atom
E_form	-0.130	eV/atom
DOS(E_F)	0.381	states/eV/atom
total magnetic moment	0.0	μB/f.u.